# 1
A relaxed Y3Zn2Rh crystal, computed with PBE-GGA.

## Properties
theoretical density = 5.9 Mg/m³
relative energy among the computed polymorphs = 3.9 kJ per mole of atoms
ΔE_f = -0.490 eV/atom
final energy = -32.23 eV per formula unit

Cell and atoms, written as CIF:
```
data_Y3Zn2Rh
_chemical_formula_sum 'Y12 Zn8 Rh4'
_cell_length_a 4.4238
_cell_length_b 10.6257
_cell_length_c 11.9935
_cell_angle_alpha 90.00
_cell_angle_beta 90.00
_cell_angle_gamma 90.00
_symmetry_space_group_name_H-M 'P 1'
_symmetry_Int_Tables_number 1
loop_
_symmetry_equiv_pos_as_xyz
'x,y,z'
loop_
_atom_site_label
_atom_site_type_symbol
_atom_site_fract_x
_atom_site_fract_y
_atom_site_fract_z
Y1 Y 0.2500 0.3837 0.0537
Y2 Y 0.7500 0.6163 0.9463
Y3 Y 0.7500 0.8837 0.4463
Y4 Y 0.2500 0.1163 0.5537
Y5 Y 0.2500 0.7050 0.2339
Y6 Y 0.7500 0.2950 0.7661
Y7 Y 0.7500 0.2050 0.2661
Y8 Y 0.2500 0.7950 0.7339
Y9 Y 0.2500 0.4397 0.3898
Y10 Y 0.7500 0.5603 0.6102
Y11 Y 0.7500 0.9397 0.1102
Y12 Y 0.2500 0.0603 0.8898
Zn1 Zn 0.2500 0.7053 0.4916
Zn2 Zn 0.7500 0.2947 0.5084
Zn3 Zn 0.7500 0.2053 0.0084
Zn4 Zn 0.2500 0.7947 0.9916
Zn5 Zn 0.2500 0.9974 0.3027
Zn6 Zn 0.7500 0.0026 0.6973
Zn7 Zn 0.7500 0.4974 0.1973
Zn8 Zn 0.2500 0.5026 0.8027
Rh1 Rh 0.2500 0.1281 0.1200
Rh2 Rh 0.7500 0.8719 0.8800
Rh3 Rh 0.7500 0.6281 0.3800
Rh4 Rh 0.2500 0.3719 0.6200
```

# 2
A relaxed YZn3Rh crystal, computed with PBE-GGA.

## Properties
theoretical density = 7.4 Mg/m³
relative energy among the computed polymorphs = 0.0 kJ per mole of atoms
ΔE_f = -0.473 eV/atom
final energy = -20.00 eV per formula unit

Cell and atoms, written as CIF:
```
data_YZn3Rh
_chemical_formula_sum 'Y2 Zn6 Rh2'
_cell_length_a 5.4683
_cell_length_b 5.3893
_cell_length_c 5.9292
_cell_angle_alpha 90.00
_cell_angle_beta 87.42
_cell_angle_gamma 90.00
_symmetry_space_group_name_H-M 'P 1'
_symmetry_Int_Tables_number 1
loop_
_symmetry_equiv_pos_as_xyz
'x,y,z'
loop_
_atom_site_label
_atom_site_type_symbol
_atom_site_fract_x
_atom_site_fract_y
_atom_site_fract_z
Y1 Y 0.6449 0.7500 0.3212
Y2 Y 0.3551 0.2500 0.6788
Zn1 Zn 0.8332 0.9918 0.8372
Zn2 Zn 0.1668 0.0082 0.1628
Zn3 Zn 0.8332 0.5082 0.8372
Zn4 Zn 0.1668 0.4918 0.1628
Zn5 Zn 0.1242 0.7500 0.5460
Zn6 Zn 0.8758 0.2500 0.4540
Rh1 Rh 0.4154 0.7500 0.8617
Rh2 Rh 0.5846 0.2500 0.1383
```

# 3
A relaxed YZnRh2 crystal, computed with PBE-GGA.

## Properties
theoretical density = 8.6 Mg/m³
ΔE_f = -0.385 eV/atom
final energy = -23.98 eV per formula unit

Cell and atoms, written as CIF:
```
data_YZnRh2
_chemical_formula_sum 'Y1 Zn1 Rh2'
_cell_length_a 3.1005
_cell_length_b 3.9976
_cell_length_c 5.5933
_cell_angle_alpha 90.00
_cell_angle_beta 90.00
_cell_angle_gamma 90.00
_symmetry_space_group_name_H-M 'P 1'
_symmetry_Int_Tables_number 1
loop_
_symmetry_equiv_pos_as_xyz
'x,y,z'
loop_
_atom_site_label
_atom_site_type_symbol
_atom_site_fract_x
_atom_site_fract_y
_atom_site_fract_z
Rh1 Rh 0.0000 0.0000 0.9698
Rh2 Rh 0.5000 0.5000 0.2536
Y1 Y 0.0000 0.0000 0.4785
Zn1 Zn 0.5000 0.5000 0.7981
```

# 4
A relaxed YZr2Rh crystal, computed with PBE-GGA.

## Properties
theoretical density = 6.7 Mg/m³
relative energy among the computed polymorphs = 22.9 kJ per mole of atoms
ΔE_f = -0.141 eV/atom
final energy = -31.48 eV per formula unit

Cell and atoms, written as CIF:
```
data_YZr2Rh
_chemical_formula_sum 'Y1 Zr2 Rh1'
_cell_length_a 9.6614
_cell_length_b 9.6614
_cell_length_c 9.6614
_cell_angle_alpha 20.07
_cell_angle_beta 20.07
_cell_angle_gamma 20.07
_symmetry_space_group_name_H-M 'P 1'
_symmetry_Int_Tables_number 1
loop_
_symmetry_equiv_pos_as_xyz
'x,y,z'
loop_
_atom_site_label
_atom_site_type_symbol
_atom_site_fract_x
_atom_site_fract_y
_atom_site_fract_z
Rh1 Rh 0.2500 0.2500 0.2500
Y1 Y 0.7500 0.7500 0.7500
Zr1 Zr 0.9837 0.9837 0.9837
Zr2 Zr 0.5163 0.5163 0.5163
```

# 5
A relaxed YZrRh crystal, computed with PBE-GGA.

## Properties
theoretical density = 6.5 Mg/m³
relative energy among the computed polymorphs = 21.2 kJ per mole of atoms
ΔE_f = -0.365 eV/atom
final energy = -23.46 eV per formula unit

Cell and atoms, written as CIF:
```
data_YZrRh
_chemical_formula_sum 'Y1 Zr1 Rh1'
_cell_length_a 4.6862
_cell_length_b 4.6862
_cell_length_c 4.6862
_cell_angle_alpha 60.00
_cell_angle_beta 60.00
_cell_angle_gamma 60.00
_symmetry_space_group_name_H-M 'P 1'
_symmetry_Int_Tables_number 1
loop_
_symmetry_equiv_pos_as_xyz
'x,y,z'
loop_
_atom_site_label
_atom_site_type_symbol
_atom_site_fract_x
_atom_site_fract_y
_atom_site_fract_z
Rh1 Rh 0.7500 0.7500 0.7500
Y1 Y 0.0000 0.0000 0.0000
Zr1 Zr 0.5000 0.5000 0.5000
```

# 6
A relaxed YZr2Rh crystal, computed with PBE-GGA.

## Properties
theoretical density = 7.0 Mg/m³
relative energy among the computed polymorphs = 0.0 kJ per mole of atoms
ΔE_f = -0.378 eV/atom
final energy = -32.43 eV per formula unit

Cell and atoms, written as CIF:
```
data_YZr2Rh
_chemical_formula_sum 'Y1 Zr2 Rh1'
_cell_length_a 6.0052
_cell_length_b 6.0052
_cell_length_c 5.0443
_cell_angle_alpha 65.15
_cell_angle_beta 65.15
_cell_angle_gamma 32.93
_symmetry_space_group_name_H-M 'P 1'
_symmetry_Int_Tables_number 1
loop_
_symmetry_equiv_pos_as_xyz
'x,y,z'
loop_
_atom_site_label
_atom_site_type_symbol
_atom_site_fract_x
_atom_site_fract_y
_atom_site_fract_z
Y1 Y 0.2500 0.2500 0.2500
Rh1 Rh 0.7500 0.7500 0.7500
Zr1 Zr 0.0351 0.0351 0.9650
Zr2 Zr 0.4649 0.4649 0.5350
```